GGA-PBE Hf7Al2Pd2, optimized geometry; E_form = 74 meV/atom; crystal system = orthorhombic; mass density = 10.4 g/cm³; DOS at the Fermi energy = 12.3 states/eV/f.u.
1.0
6.141 -0.002 -0.680
0.003 6.627 0.003
-1.061 -0.002 6.086
Hf Al Pd
7 2 2
direct
0.000 0.725 0.500
0.000 0.275 0.500
0.000 0.000 0.000
0.500 0.268 0.500
0.500 0.732 0.500
0.500 0.275 0.000
0.500 0.725 0.000
0.173 0.500 0.173
0.827 0.500 0.827
0.283 0.000 0.717
0.717 0.000 0.283

=====

GGA-PBE Hf2Al6Pd, optimized geometry; E_form = -436 meV/atom; crystal system = trigonal; mass density = 6.7 g/cm³; DOS at the Fermi energy = 2.5 states/eV/f.u.
1.0
5.619 -0.028 -0.016
0.024 5.627 0.006
0.024 2.809 4.876
Al Hf Pd
6 2 1
direct
0.320 0.355 0.823
0.680 0.645 0.177
0.680 0.177 0.645
0.319 0.823 0.823
0.320 0.823 0.355
0.681 0.177 0.177
0.127 0.333 0.333
0.873 0.667 0.667
0.000 0.000 0.000

=====

GGA-PBE HfAl4Pd5, optimized geometry; E_form = -826 meV/atom; crystal system = tetragonal; mass density = 8.9 g/cm³; DOS at the Fermi energy = 4.2 states/eV/f.u.
1.0
3.097 0.000 0.000
0.000 3.097 0.000
0.000 0.000 15.897
Pd Al Hf
5 4 1
direct
0.500 0.500 0.311
0.500 0.500 0.878
0.500 0.500 0.689
0.500 0.500 0.500
0.500 0.500 0.122
0.000 0.000 0.405
0.000 0.000 0.786
0.000 0.000 0.214
0.000 0.000 0.595
0.000 0.000 0.000

=====

GGA-PBE Hf2Al3Pd, optimized geometry; E_form = -625 meV/atom; crystal system = trigonal; mass density = 8.8 g/cm³; DOS at the Fermi energy = 5.7 states/eV/f.u.
1.0
4.709 -0.142 -2.471
-2.996 4.391 -0.226
-0.272 0.082 5.194
Hf Pd Al
2 1 3
direct
0.251 0.626 0.877
0.749 0.374 0.123
0.000 0.000 0.000
0.000 0.000 0.500
0.500 0.500 0.500
0.500 0.000 0.500

=====

GGA-PBE HfAl2Pd4, optimized geometry; E_form = 231 meV/atom; crystal system = tetragonal; mass density = 7.2 g/cm³; DOS at the Fermi energy = 4.5 states/eV/f.u.
1.0
-2.182 -2.682 3.479
2.993 -3.752 -1.014
4.531 -1.072 5.473
Hf Pd Al
1 4 2
direct
0.000 0.000 0.000
0.000 0.500 0.000
0.500 0.000 0.000
0.802 0.802 0.396
0.198 0.198 0.604
0.394 0.394 0.211
0.606 0.606 0.789

=====

GGA-PBE Hf3Al4Pd2, optimized geometry; E_form = -603 meV/atom; crystal system = monoclinic; mass density = 9.0 g/cm³; DOS at the Fermi energy = 6.0 states/eV/f.u.
1.0
4.452 0.000 0.000
-2.226 4.829 -0.759
0.000 -3.004 7.825
Pd Al Hf
2 4 3
direct
0.614 0.228 0.278
0.386 0.772 0.722
0.917 0.834 0.589
0.289 0.578 0.951
0.711 0.422 0.049
0.083 0.166 0.411
0.343 0.686 0.322
0.000 0.000 0.000
0.657 0.314 0.678

=====

GGA-PBE Hf2AlPd6, optimized geometry; E_form = -567 meV/atom; crystal system = monoclinic; mass density = 10.9 g/cm³; DOS at the Fermi energy = 3.7 states/eV/f.u.
1.0
-3.022 -0.302 0.567
1.487 -4.683 5.432
1.161 7.772 1.444
Hf Pd Al
2 6 1
direct
0.328 0.339 0.679
0.672 0.661 0.321
0.173 0.974 0.333
0.173 0.359 0.333
0.827 0.026 0.667
0.500 0.285 0.000
0.827 0.641 0.667
0.500 0.715 0.000
0.000 0.000 0.000

=====

GGA-PBE Hf6AlPd, optimized geometry; E_form = -215 meV/atom; crystal system = trigonal; mass density = 12.3 g/cm³; DOS at the Fermi energy = 12.1 states/eV/f.u.
1.0
7.713 0.002 0.178
3.852 6.681 0.184
3.782 2.178 3.263
Al Hf Pd
1 6 1
direct
0.500 0.500 0.500
0.751 0.000 0.749
0.249 0.000 0.251
0.000 0.499 0.749
0.500 0.751 0.749
0.000 0.501 0.251
0.500 0.249 0.251
0.000 0.000 0.000